Version 1
# YSc2Pd2 PBE relaxed
data_YSc2Pd2
_cell_length_a 8.1506
_cell_length_b 8.1506
_cell_length_c 3.0687
_cell_angle_alpha 90.00
_cell_angle_beta 90.00
_cell_angle_gamma 90.00
_symmetry_space_group_name_H-M 'P 1'
_symmetry_Int_Tables_number 1
_symmetry_space_group_name_Hall 'P 1'
loop_
_atom_site_label
_atom_site_type_symbol
_atom_site_fract_x
_atom_site_fract_y
_atom_site_fract_z
Y1 Y 0.0000 0.0000 0.0000
Y2 Y 0.5000 0.5000 0.0000
Sc1 Sc 0.1356 0.3644 0.0000
Sc2 Sc 0.3644 0.8644 0.0000
Sc3 Sc 0.6356 0.1356 0.0000
Sc4 Sc 0.8644 0.6356 0.0000
Pd1 Pd 0.1613 0.6613 0.5000
Pd2 Pd 0.3387 0.1613 0.5000
Pd3 Pd 0.6613 0.8387 0.5000
Pd4 Pd 0.8387 0.3387 0.5000
# Symmetry: No. 127
# D(E_F): 5.444 states/eV/f.u.
# Magnetization: 0.00 μB/f.u.
# Volume: 204 Å³ per cell


Version 2
# YSc2Pd2 PBE relaxed
data_YSc2Pd2
_cell_length_a 7.2334
_cell_length_b 7.2334
_cell_length_c 7.2334
_cell_angle_alpha 146.64
_cell_angle_beta 146.64
_cell_angle_gamma 47.90
_symmetry_space_group_name_H-M 'P 1'
_symmetry_Int_Tables_number 1
_symmetry_space_group_name_Hall 'P 1'
loop_
_atom_site_label
_atom_site_type_symbol
_atom_site_fract_x
_atom_site_fract_y
_atom_site_fract_z
Y1 Y 0.0000 0.0000 0.0000
Sc1 Sc 0.3758 0.3758 0.0000
Sc2 Sc 0.6242 0.6242 0.0000
Pd1 Pd 0.2500 0.7500 0.5000
Pd2 Pd 0.7500 0.2500 0.5000
# Symmetry: No. 139
# D(E_F): 5.509 states/eV/f.u.
# Magnetization: 0.00 μB/f.u.
# Volume: 114 Å³ per cell


Version 3
# YSc2Pd2 PBE relaxed
data_YSc2Pd2
_cell_length_a 5.0337
_cell_length_b 4.6339
_cell_length_c 9.9695
_cell_angle_alpha 90.00
_cell_angle_beta 104.02
_cell_angle_gamma 90.00
_symmetry_space_group_name_H-M 'P 1'
_symmetry_Int_Tables_number 1
_symmetry_space_group_name_Hall 'P 1'
loop_
_atom_site_label
_atom_site_type_symbol
_atom_site_fract_x
_atom_site_fract_y
_atom_site_fract_z
Y1 Y 0.0249 0.2500 0.2670
Y2 Y 0.9751 0.7500 0.7330
Sc1 Sc 0.2741 0.2500 0.9851
Sc2 Sc 0.4010 0.2500 0.6137
Sc3 Sc 0.5990 0.7500 0.3863
Sc4 Sc 0.7259 0.7500 0.0149
Pd1 Pd 0.1485 0.7500 0.4705
Pd2 Pd 0.2732 0.7500 0.1320
Pd3 Pd 0.7268 0.2500 0.8680
Pd4 Pd 0.8515 0.2500 0.5295
# Symmetry: No. 11
# D(E_F): 4.492 states/eV/f.u.
# Magnetization: 0.00 μB/f.u.
# Volume: 226 Å³ per cell


The most stable of them is version 3.